Material: ReSiN2
Method: DFT, meta-GGA SCAN
State: single point on PBEsol structure

Results
Raw formation energy = 36 meV/atom
E_tot = -24.89 eV per atom

Unit cell a=2.7923 b=2.7923 c=18.5105 alpha=90.00 beta=90.00 gamma=120.00
Space group R-3m (No. 166, hexagonal axes)
Asymmetric unit:
Re 0.0000 0.0000 0.0000 x3
Si 0.0000 0.0000 0.5000 x3
N 0.0000 0.0000 0.4042 x6


Material: InIr2Se
Method: DFT, meta-GGA SCAN
State: single point on PBEsol structure

Results
Raw formation energy = 715 meV/atom
E_tot = -48.20 eV per atom
Offset from the most stable computed form = 0.438 eV/atom

Unit cell a=6.433 b=6.433 c=6.433 alpha=90.00 beta=90.00 gamma=90.00
Space group F-43m (No. 216)
Asymmetric unit:
In 0.000 0.000 0.000 x4
Ir 0.000 0.000 0.500 x4
Ir 0.250 0.250 0.750 x4
Se 0.250 0.250 0.250 x4


Material: Re2SiAg
Method: DFT, meta-GGA SCAN
State: single point on PBEsol structure

Results
Raw formation energy = 250 meV/atom
E_tot = -45.64 eV per atom

Unit cell a=2.902 b=2.902 c=6.945 alpha=90.00 beta=90.00 gamma=90.00
Space group P4mm (No. 99)
Asymmetric unit:
Re 0.000 0.000 0.000 x1
Re 0.500 0.500 0.242 x1
Si 0.000 0.000 0.453 x1
Ag 0.500 0.500 0.704 x1